# 1
VASP calculation (GGA-PBEsol) on a relaxed Mn2Hg2O7 crystal.

Properties
As for the space group: No. 227. Its raw formation energy is -0.978 eV per atom.

a b c (Å): 6.975 6.975 6.975
angles (deg): 60.00 60.00 60.00
Last column: magnetic moment on the atom in μB.
Fractional coordinates of all 22 atoms:
Mn1 0.125 0.625 0.625  2.17
Mn2 0.625 0.625 0.625  2.17
Mn3 0.625 0.125 0.625  2.17
Mn4 0.625 0.625 0.125  2.17
Hg1 0.125 0.125 0.625  -0.03
Hg2 0.125 0.625 0.125  -0.03
Hg3 0.125 0.125 0.125  -0.03
Hg4 0.625 0.125 0.125  -0.03
O1 0.310 0.690 0.690  -0.05
O2 0.560 0.940 0.940  -0.05
O3 0.310 0.310 0.690  -0.05
O4 0.690 0.690 0.310  -0.05
O5 0.000 0.000 0.000  -0.10
O6 0.690 0.310 0.690  -0.05
O7 0.310 0.690 0.310  -0.05
O8 0.560 0.940 0.560  -0.05
O9 0.940 0.940 0.560  -0.05
O10 0.560 0.560 0.940  -0.05
O11 0.250 0.250 0.250  -0.10
O12 0.940 0.560 0.940  -0.05
O13 0.690 0.310 0.310  -0.05
O14 0.940 0.560 0.560  -0.05



# 2
VASP calculation (GGA-PBEsol) on a relaxed Ba2MgBr crystal.

Properties
As for the space group: No. 122. The value obtained for the energy relative to the lowest polymorph listed for this composition is 0.117 eV per atom. Its raw formation energy is -0.573 eV per atom.

a b c (Å): 7.794 7.794 7.794
angles (deg): 110.26 109.08 109.08
Fractional coordinates of all 8 atoms:
Mg1 0.000 0.500 0.500
Mg2 0.500 0.250 0.750
Ba1 0.968 0.875 0.343
Ba2 0.032 0.375 0.907
Ba3 0.532 0.657 0.625
Ba4 0.468 0.093 0.125
Br1 0.000 0.000 0.000
Br2 0.500 0.750 0.250



# 3
VASP calculation (GGA-PBEsol) on a relaxed YCuSi2Ni crystal.

Properties
As for the space group: No. 119. Its raw formation energy is -0.791 eV per atom.

a b c (Å): 3.921 3.921 5.570
angles (deg): 110.60 110.60 90.00
Fractional coordinates of all 5 atoms:
Y1 0.000 0.000 0.000
Ni1 0.250 0.750 0.500
Si1 0.377 0.377 0.755
Si2 0.623 0.623 0.245
Cu1 0.750 0.250 0.500



# 4
VASP calculation (GGA-PBEsol) on a relaxed La3Mn2Sb3O14 crystal.

Properties
As for the space group: No. 166. Its raw formation energy is -2.218 eV per atom.

a b c (Å): 7.327 7.327 7.327
angles (deg): 62.05 62.05 62.05
Last column: magnetic moment on the atom in μB.
Fractional coordinates of all 22 atoms:
La1 0.500 0.500 0.000  0.02
La2 0.500 0.000 0.500  0.02
La3 0.000 0.500 0.500  0.02
Mn1 0.000 0.000 0.000  4.38
Mn2 0.500 0.500 0.500  4.42
Sb1 0.000 0.000 0.500  0.02
Sb2 0.000 0.500 0.000  0.02
Sb3 0.500 0.000 0.000  0.02
O1 0.612 0.612 0.612  0.03
O2 0.388 0.388 0.388  0.03
O3 0.923 0.320 0.320  0.03
O4 0.320 0.320 0.923  0.03
O5 0.320 0.923 0.320  0.03
O6 0.077 0.680 0.680  0.03
O7 0.680 0.680 0.077  0.03
O8 0.680 0.077 0.680  0.03
O9 0.348 0.911 0.911  0.03
O10 0.911 0.911 0.348  0.03
O11 0.911 0.348 0.911  0.03
O12 0.652 0.089 0.089  0.03
O13 0.089 0.089 0.652  0.03
O14 0.089 0.652 0.089  0.03



# 5
VASP calculation (GGA-PBEsol) on a relaxed CoAsS2F crystal.

Properties
As for the space group: No. 123. Its raw formation energy is 0.161 eV per atom.

a b c (Å): 4.155 4.155 4.800
angles (deg): 90.00 90.00 90.00
Fractional coordinates of all 5 atoms:
As1 0.000 0.000 0.500
Co1 0.000 0.000 0.000
S1 0.000 0.500 0.000
S2 0.500 0.000 0.000
F1 0.500 0.500 0.500



# 6
VASP calculation (GGA-PBEsol) on a relaxed PmCdAu2 crystal.

Properties
As for the space group: No. 225. For the formation energy from the elements, the calculation gives -0.642 eV/atom.

a b c (Å): 4.914 4.914 4.914
angles (deg): 60.00 60.00 60.00
Fractional coordinates of all 4 atoms:
Cd1 0.000 0.000 0.000
Au1 0.250 0.250 0.250
Au2 0.750 0.750 0.750
Pm1 0.500 0.500 0.500



# 7
VASP calculation (GGA-PBEsol) on a relaxed GdTmO3 crystal.

Properties
As for the space group: No. 62. Its raw formation energy is -3.559 eV per atom.

a b c (Å): 5.617 5.882 8.247
angles (deg): 90.00 90.00 90.00
Last column: magnetic moment on the atom in μB.
Fractional coordinates of all 20 atoms:
Gd1 0.979 0.056 0.250  6.89
Gd2 0.479 0.444 0.750  6.89
Gd3 0.521 0.556 0.250  6.89
Gd4 0.021 0.944 0.750  6.89
Tm1 0.500 0.000 0.000  0.01
Tm2 0.500 0.000 0.500  0.01
Tm3 0.000 0.500 0.000  0.01
Tm4 0.000 0.500 0.500  0.01
O1 0.643 0.071 0.750  -0.01
O2 0.188 0.192 0.576  -0.01
O3 0.188 0.192 0.924  -0.01
O4 0.688 0.308 0.076  -0.01
O5 0.688 0.308 0.424  -0.01
O6 0.143 0.429 0.250  -0.01
O7 0.857 0.571 0.750  -0.01
O8 0.312 0.692 0.924  -0.01
O9 0.312 0.692 0.576  -0.01
O10 0.812 0.808 0.076  -0.01
O11 0.812 0.808 0.424  -0.01
O12 0.357 0.929 0.250  -0.01



# 8
VASP calculation (GGA-PBEsol) on a relaxed Hf3Sc4O12 crystal.

Properties
As for the space group: No. 2. Its raw formation energy is -3.590 eV per atom.

a b c (Å): 6.116 6.126 12.152
angles (deg): 99.34 99.35 99.70
Fractional coordinates of all 38 atoms:
Hf1 0.140 0.612 0.406
Hf2 0.683 0.859 0.944
Hf3 0.995 0.996 0.251
Hf4 0.005 0.004 0.749
Hf5 0.317 0.141 0.056
Hf6 0.860 0.388 0.594
Sc1 0.136 0.607 0.906
Sc2 0.391 0.688 0.680
Sc3 0.393 0.678 0.181
Sc4 0.680 0.858 0.445
Sc5 0.320 0.142 0.555
Sc6 0.609 0.312 0.320
Sc7 0.607 0.322 0.819
Sc8 0.864 0.393 0.094
O1 0.093 0.940 0.411
O2 0.090 0.946 0.912
O3 0.054 0.683 0.701
O4 0.062 0.673 0.213
O5 0.414 0.818 0.536
O6 0.426 0.825 0.040
O7 0.179 0.416 0.036
O8 0.175 0.420 0.536
O9 0.675 0.904 0.278
O10 0.683 0.909 0.782
O11 0.420 0.570 0.341
O12 0.424 0.586 0.842
O13 0.580 0.430 0.659
O14 0.576 0.414 0.158
O15 0.325 0.096 0.722
O16 0.317 0.091 0.218
O17 0.825 0.580 0.464
O18 0.821 0.584 0.964
O19 0.574 0.175 0.960
O20 0.586 0.182 0.464
O21 0.946 0.317 0.299
O22 0.938 0.327 0.787
O23 0.907 0.060 0.589
O24 0.910 0.054 0.088



# 9
VASP calculation (GGA-PBEsol) on a relaxed Al3C crystal.

Properties
As for the space group: No. 63. For the formation energy from the elements, the calculation gives 0.402 eV/atom. The value obtained for the energy relative to the lowest polymorph listed for this composition is 0.388 eV per atom.

a b c (Å): 2.991 5.090 8.039
angles (deg): 108.46 90.00 90.00
Fractional coordinates of all 8 atoms:
C1 0.750 0.400 0.799
C2 0.250 0.600 0.201
Al1 0.750 0.753 0.506
Al2 0.250 0.247 0.494
Al3 0.750 0.840 0.175
Al4 0.250 0.160 0.825
Al5 0.250 0.665 0.825
Al6 0.750 0.335 0.175



# 10
VASP calculation (GGA-PBEsol) on a relaxed Ca2BeP crystal.

Properties
As for the space group: No. 123. For the formation energy from the elements, the calculation gives -0.274 eV/atom. The value obtained for the energy relative to the lowest polymorph listed for this composition is 0.000 eV per atom.

a b c (Å): 3.595 3.595 6.450
angles (deg): 90.00 90.00 90.00
Fractional coordinates of all 4 atoms:
P1 0.500 0.500 0.000
Ca1 0.000 0.000 0.766
Ca2 0.000 0.000 0.234
Be1 0.500 0.500 0.500



# 11
VASP calculation (GGA-PBEsol) on a relaxed K2TeSe crystal.

Properties
As for the space group: No. 8. The value obtained for the energy relative to the lowest polymorph listed for this composition is 0.000 eV per atom. Its raw formation energy is -0.639 eV per atom.

a b c (Å): 3.801 5.623 6.537
angles (deg): 110.21 106.90 90.00
Fractional coordinates of all 4 atoms:
K1 0.017 0.054 0.034
K2 0.221 0.673 0.441
Se1 0.477 0.545 0.954
Te1 0.785 0.228 0.570



# 12
VASP calculation (GGA-PBEsol) on a relaxed Tc2AgOs crystal.

Properties
As for the space group: No. 99. For the formation energy from the elements, the calculation gives 0.355 eV/atom. The value obtained for the energy relative to the lowest polymorph listed for this composition is 0.043 eV per atom.

a b c (Å): 2.712 2.712 7.969
angles (deg): 90.00 90.00 90.00
Fractional coordinates of all 4 atoms:
Ag1 0.000 0.000 0.501
Os1 0.500 0.500 0.771
Tc1 0.000 0.000 0.991
Tc2 0.500 0.500 0.237



Record order is preserved below.
Uncorrected energy: -6.196; -2.544; -6.553; -7.796; -4.547; -4.187; -10.578; -9.955; -5.078; -3.789; -3.050; -9.160 eV/atom